1.
A relaxed Er3TmSc4 crystal, computed with PBE.

Structure (POSCAR):
```
Er3TmSc4
1.0
10.708 0.000 0.000
0.000 6.894 0.000
0.000 0.000 5.974
Er Tm Sc
6 2 8
Direct
0.000 0.132 0.000 Er
0.250 0.132 0.341 Er
0.250 0.868 0.841 Er
0.500 0.868 0.500 Er
0.750 0.132 0.341 Er
0.750 0.868 0.841 Er
0.000 0.867 0.500 Tm
0.500 0.133 0.000 Tm
0.000 0.382 0.507 Sc
0.000 0.618 0.007 Sc
0.250 0.382 0.834 Sc
0.250 0.618 0.334 Sc
0.500 0.382 0.507 Sc
0.500 0.618 0.007 Sc
0.750 0.382 0.834 Sc
0.750 0.618 0.334 Sc
```

## Properties
**Fermi-level density of states**: 1.94 states/eV/atom
**Energy**: -5.42 eV per atom
**Symmetry**: Pmn2_1, No. 31
**E above lowest polymorph**: 0.000 eV per atom
**M_tot**: 0.00 μB per cell

=====

2.
A relaxed Er2Tm7Sc2 crystal, computed with PBE.

Structure (POSCAR):
```
Er2Tm7Sc2
1.0
4.434 -4.574 0.000
4.434 4.574 0.000
-1.707 0.000 8.097
Er Tm Sc
2 7 2
Direct
0.180 0.820 0.000 Er
0.820 0.180 0.000 Er
0.041 0.412 0.699 Tm
0.340 0.340 0.087 Tm
0.412 0.041 0.699 Tm
0.500 0.500 0.500 Tm
0.588 0.959 0.301 Tm
0.660 0.660 0.913 Tm
0.959 0.588 0.301 Tm
0.103 0.103 0.353 Sc
0.897 0.897 0.647 Sc
```

## Properties
**Fermi-level density of states**: 1.82 states/eV/atom
**Energy**: -4.72 eV per atom
**Symmetry**: C2/m, No. 12
**E above lowest polymorph**: 0.000 eV per atom
**M_tot**: 0.00 μB per cell

=====

3.
A relaxed Er2Tm6Sc crystal, computed with PBE.

Structure (POSCAR):
```
Er2Tm6Sc
1.0
7.089 -6.072 0.000
7.089 6.072 0.000
-2.800 0.000 6.322
Er Tm Sc
4 12 2
Direct
0.161 0.195 0.389 Er
0.195 0.161 0.889 Er
0.805 0.839 0.111 Er
0.839 0.805 0.611 Er
0.057 0.492 0.771 Tm
0.138 0.849 0.481 Tm
0.151 0.862 0.019 Tm
0.322 0.463 0.276 Tm
0.463 0.322 0.776 Tm
0.492 0.057 0.271 Tm
0.508 0.943 0.729 Tm
0.537 0.678 0.224 Tm
0.678 0.537 0.724 Tm
0.849 0.138 0.981 Tm
0.862 0.151 0.519 Tm
0.943 0.508 0.229 Tm
0.343 0.657 0.750 Sc
0.657 0.343 0.250 Sc
```

## Properties
**Fermi-level density of states**: 1.49 states/eV/atom
**Energy**: -4.53 eV per atom
**Symmetry**: C2/c, No. 15
**E above lowest polymorph**: 0.132 eV per atom
**M_tot**: 0.00 μB per cell

=====

4.
A relaxed Er8TmSc4 crystal, computed with PBE.

Structure (POSCAR):
```
Er8TmSc4
1.0
3.451 1.992 9.237
-3.451 1.992 9.237
0.000 -3.985 9.237
Er Tm Sc
8 1 4
Direct
0.211 0.211 0.211 Er
0.218 0.752 0.752 Er
0.248 0.248 0.782 Er
0.248 0.782 0.248 Er
0.752 0.218 0.752 Er
0.752 0.752 0.218 Er
0.782 0.248 0.248 Er
0.789 0.789 0.789 Er
0.500 0.500 0.500 Tm
0.000 0.000 0.000 Sc
0.000 0.500 0.500 Sc
0.500 0.000 0.500 Sc
0.500 0.500 0.000 Sc
```

## Properties
**Fermi-level density of states**: 1.38 states/eV/atom
**Energy**: -4.83 eV per atom
**Symmetry**: R-3m, No. 166
**M_tot**: 0.00 μB per cell

=====

5.
A relaxed Er4TmSc crystal, computed with PBE.

Structure (POSCAR):
```
Er4TmSc
1.0
5.476 0.000 0.000
0.000 1.771 9.193
0.000 -1.771 9.193
Er Tm Sc
4 1 1
Direct
0.000 0.000 0.000 Er
0.000 0.329 0.329 Er
0.500 0.218 0.218 Er
0.500 0.555 0.555 Er
0.500 0.886 0.886 Tm
0.000 0.664 0.664 Sc
```

## Properties
**Fermi-level density of states**: 1.72 states/eV/atom
**Energy**: -4.84 eV per atom
**Symmetry**: Amm2, No. 38
**E above lowest polymorph**: 0.000 eV per atom
**M_tot**: 0.00 μB per cell

=====

6.
A relaxed Er8Tm2Sc crystal, computed with PBE.

Structure (POSCAR):
```
Er8Tm2Sc
1.0
-2.712 3.951 7.798
2.712 -3.951 7.798
2.712 3.951 -7.798
Er Tm Sc
8 2 1
Direct
0.155 0.365 0.790 Er
0.164 0.164 0.000 Er
0.287 0.000 0.287 Er
0.425 0.635 0.790 Er
0.575 0.365 0.210 Er
0.713 0.000 0.713 Er
0.836 0.836 0.000 Er
0.845 0.635 0.210 Er
0.299 0.799 0.500 Tm
0.701 0.201 0.500 Tm
0.000 0.500 0.500 Sc
```

## Properties
**Fermi-level density of states**: 1.68 states/eV/atom
**Energy**: -4.59 eV per atom
**Symmetry**: Immm, No. 71
**E above lowest polymorph**: 0.000 eV per atom
**M_tot**: 0.00 μB per cell

=====

Which ΔH_f (0 K) belongs to each record? In order, 0.02, 0.11, 0.17, 0.27, 0.00, 0.12 eV/atom.